1.
The following is a DFT calculation (PBE) of an optimized crystal structure of CdFe2Ir.

Structure (extended XYZ):
```
12
Lattice="2.760 0.000 0.000 -1.380 2.391 0.000 0.000 0.000 26.902" Properties=species:S:1:pos:R:3 pbc="T T T"
Cd 0.000 0.000 0.000
Cd 0.000 1.594 17.935
Cd 1.380 0.797 8.967
Fe 0.000 0.000 6.573
Fe 0.000 0.000 20.329
Fe 0.000 1.594 11.362
Fe 0.000 1.594 24.508
Fe 1.380 0.797 2.394
Fe 1.380 0.797 15.540
Ir 0.000 0.000 13.451
Ir 0.000 1.594 4.484
Ir 1.380 0.797 22.418
```

Computed properties:
As for the formation enthalpy at 0 K: 0.2343 eV per atom. The total moment is 5.41 μB/f.u. The space group is R-3m (166).


2.
The following is a DFT calculation (PBE) of an optimized crystal structure of CdFe3Ir.

Structure (extended XYZ):
```
5
Lattice="4.677 0.000 0.000 0.000 4.677 0.000 0.000 0.000 4.677" Properties=species:S:1:pos:R:3 pbc="T T T"
Cd 0.000 0.000 0.000
Fe 0.000 2.339 2.339
Fe 2.339 0.000 2.339
Fe 2.339 2.339 0.000
Ir 2.339 2.339 2.339
```

Computed properties:
As for the formation enthalpy at 0 K: 1.0739 eV per atom. The total moment is 9.90 μB/f.u. As for the distance to the lowest polymorph of the same formula: 0 meV per atom. The space group is Pm-3m (221).


3.
The following is a DFT calculation (PBE) of an optimized crystal structure of Cd2FeIr.

Structure (extended XYZ):
```
16
Lattice="7.399 0.000 0.000 0.000 7.399 0.000 0.000 0.000 5.385" Properties=species:S:1:pos:R:3 pbc="T T T"
Cd 1.814 1.850 0.673
Cd 1.850 5.513 2.019
Cd 1.850 5.586 4.711
Cd 1.886 1.850 3.365
Cd 5.513 5.549 3.365
Cd 5.549 1.814 4.711
Cd 5.549 1.886 2.019
Cd 5.586 5.549 0.673
Fe 0.000 0.000 0.000
Fe 0.000 3.700 1.346
Fe 3.700 0.000 4.038
Fe 3.700 3.700 2.692
Ir 0.000 0.000 2.692
Ir 0.000 3.700 4.038
Ir 3.700 0.000 1.346
Ir 3.700 3.700 0.000
```

Computed properties:
As for the formation enthalpy at 0 K: 0.6479 eV per atom. The total moment is 3.15 μB/f.u. As for the distance to the lowest polymorph of the same formula: 545 meV per atom. The space group is I-42d (122).


Question: Which of these has the lowest formation enthalpy at 0 K?
Answer: CdFe2Ir